! V8SiNi2 (PBE, optimized geometry); values from VASP
&SYSTEM
  ibrav = 0, nat = 11, ntyp = 3
/
ATOMIC_SPECIES
V 50.94 V.upf
Si 28.09 Si.upf
Ni 58.69 Ni.upf
CELL_PARAMETERS angstrom
5.418 -2.383 0.000
5.418 2.383 0.000
-2.045 0.000 5.628
ATOMIC_POSITIONS crystal
V 0.091 0.091 0.433
V 0.150 0.657 0.090
V 0.326 0.326 0.709
V 0.343 0.850 0.910
V 0.657 0.150 0.090
V 0.674 0.674 0.291
V 0.850 0.343 0.910
V 0.909 0.909 0.567
Si 0.500 0.500 0.500
Ni 0.272 0.272 0.282
Ni 0.728 0.728 0.718
! Density   6.32 Mg/m³
! Formation energy from raw total energies   0.016 eV/atom
! V   13.2 Å³ per atom
! Size of the total moment   0.00 μB/cell